First-principles (PBE-GGA) data for a relaxed structure of Nd2Sm2CI2BrCl2, as listed in the Open Quantum Materials Database.

- DFT total energy (eV per atom) = -5.064
- M_tot (μB/f.u.) = 0.1

Unit cell a=9.237 b=9.237 c=8.487 alpha=101.01 beta=101.01 gamma=24.92
Atoms (fractional coordinates):
Sm (0.640, 0.640, 0.567)
Sm (0.360, 0.360, 0.433)
C (0.500, 0.500, 0.500)
Nd (0.005, 0.005, 0.297)
Nd (0.995, 0.995, 0.703)
I (0.829, 0.829, 0.149)
I (0.171, 0.171, 0.851)
Cl (0.172, 0.172, 0.353)
Cl (0.828, 0.828, 0.647)
Br (0.500, 0.500, 0.000)

First-principles (PBE-GGA) data for a relaxed structure of Nd2Y2CI2BrCl2, as listed in the Open Quantum Materials Database.

- DFT total energy (eV per atom) = -5.415
- M_tot (μB/f.u.) = 0.0

Unit cell a=9.378 b=9.378 c=8.470 alpha=101.00 beta=101.00 gamma=24.29
Atoms (fractional coordinates):
Y (0.367, 0.367, 0.941)
Y (0.633, 0.633, 0.059)
Cl (0.834, 0.834, 0.144)
Cl (0.166, 0.166, 0.856)
Nd (0.003, 0.003, 0.795)
Nd (0.997, 0.997, 0.205)
C (0.500, 0.500, 0.000)
I (0.172, 0.172, 0.338)
I (0.828, 0.828, 0.662)
Br (0.500, 0.500, 0.500)

First-principles (PBE-GGA) data for a relaxed structure of Pr4CI2BrCl2, as listed in the Open Quantum Materials Database.

- DFT total energy (eV per atom) = -5.086
- M_tot (μB/f.u.) = 0.3

Unit cell a=9.729 b=9.729 c=8.451 alpha=100.46 beta=100.46 gamma=23.84
Site moments in Bohr magnetons follow the coordinates.
Atoms (fractional coordinates):
Cl (0.851, 0.851, 0.185)  0.00
Cl (0.149, 0.149, 0.815)  0.00
Pr (0.636, 0.636, 0.571)  0.06
Pr (0.998, 0.998, 0.707)  0.01
Pr (0.364, 0.364, 0.429)  0.06
Pr (0.002, 0.002, 0.293)  0.01
I (0.174, 0.174, 0.301)  0.00
I (0.826, 0.826, 0.699)  0.00
C (0.500, 0.500, 0.500)  0.00
Br (0.500, 0.500, 0.000)  0.00

First-principles (PBE-GGA) data for a relaxed structure of Pr4CI2Br2Cl, as listed in the Open Quantum Materials Database.

- energy above the most stable polymorph in this dataset (eV/f.u.) = 0.00
- DFT total energy (eV per atom) = -5.009
- M_tot (μB/f.u.) = 0.0

Unit cell a=9.811 b=9.811 c=8.347 alpha=102.05 beta=102.05 gamma=23.63
Atoms (fractional coordinates):
C (0.500, 0.500, 0.000)
Br (0.842, 0.842, 0.655)
Br (0.158, 0.158, 0.345)
Pr (0.364, 0.364, 0.927)
Pr (0.001, 0.001, 0.787)
Pr (0.999, 0.999, 0.213)
Pr (0.636, 0.636, 0.073)
I (0.173, 0.173, 0.803)
I (0.827, 0.827, 0.197)
Cl (0.500, 0.500, 0.500)

First-principles (PBE-GGA) data for a relaxed structure of Pr4CIBr2Cl2, as listed in the Open Quantum Materials Database.

- DFT total energy (eV per atom) = -5.161
- M_tot (μB/f.u.) = 0.2

Unit cell a=9.190 b=9.190 c=8.908 alpha=104.20 beta=104.20 gamma=25.27
Atoms (fractional coordinates):
I (0.500, 0.500, 0.500)
Pr (0.001, 0.001, 0.804)
Pr (0.999, 0.999, 0.196)
Pr (0.646, 0.646, 0.076)
Pr (0.354, 0.354, 0.924)
C (0.500, 0.500, 0.000)
Br (0.171, 0.171, 0.330)
Br (0.829, 0.829, 0.670)
Cl (0.170, 0.170, 0.858)
Cl (0.830, 0.830, 0.142)

First-principles (PBE-GGA) data for a relaxed structure of Pr4CI2Br2Cl, as listed in the Open Quantum Materials Database.

- energy above the most stable polymorph in this dataset (eV/f.u.) = 0.11
- DFT total energy (eV per atom) = -4.998
- M_tot (μB/f.u.) = 0.0

Unit cell a=9.669 b=9.669 c=8.391 alpha=101.02 beta=101.02 gamma=24.01
Atoms (fractional coordinates):
Pr (0.997, 0.997, 0.211)
Pr (0.003, 0.003, 0.789)
Pr (0.363, 0.363, 0.934)
Pr (0.637, 0.637, 0.066)
C (0.500, 0.500, 0.000)
I (0.166, 0.166, 0.361)
I (0.834, 0.834, 0.639)
Cl (0.500, 0.500, 0.500)
Br (0.169, 0.169, 0.821)
Br (0.831, 0.831, 0.179)

First-principles (PBE-GGA) data for a relaxed structure of Pr4CIBr2Cl2, as listed in the Open Quantum Materials Database.

- DFT total energy (eV per atom) = -5.160
- M_tot (μB/f.u.) = 0.1

Unit cell a=9.420 b=9.420 c=8.859 alpha=103.81 beta=103.81 gamma=24.71
Atoms (fractional coordinates):
C (0.500, 0.500, 0.000)
Cl (0.839, 0.839, 0.689)
Cl (0.161, 0.161, 0.311)
Br (0.171, 0.171, 0.843)
Br (0.829, 0.829, 0.157)
Pr (0.358, 0.358, 0.923)
Pr (0.000, 0.000, 0.197)
Pr (0.642, 0.642, 0.077)
Pr (0.000, 0.000, 0.803)
I (0.500, 0.500, 0.500)

First-principles (PBE-GGA) data for a relaxed structure of Pr2Sc2CI2Br2Cl, as listed in the Open Quantum Materials Database.

- energy above the most stable polymorph in this dataset (eV/f.u.) = 0.90
- DFT total energy (eV per atom) = -5.205
- M_tot (μB/f.u.) = 0.0

Unit cell a=9.379 b=9.379 c=8.144 alpha=102.27 beta=102.27 gamma=23.48
Atoms (fractional coordinates):
I (0.836, 0.836, 0.214)
I (0.164, 0.164, 0.786)
Sc (0.000, 0.000, 0.812)
Sc (0.000, 0.000, 0.188)
Br (0.147, 0.147, 0.351)
Br (0.853, 0.853, 0.649)
C (0.500, 0.500, 0.000)
Cl (0.500, 0.500, 0.500)
Pr (0.361, 0.361, 0.925)
Pr (0.639, 0.639, 0.075)

First-principles (PBE-GGA) data for a relaxed structure of Pr2Sc2CIBr2Cl2, as listed in the Open Quantum Materials Database.

- energy above the most stable polymorph in this dataset (eV/f.u.) = 0.32
- DFT total energy (eV per atom) = -5.410
- M_tot (μB/f.u.) = 0.2

Unit cell a=9.048 b=9.048 c=8.119 alpha=104.02 beta=104.02 gamma=24.20
Atoms (fractional coordinates):
Pr (0.355, 0.355, 0.918)
Pr (0.645, 0.645, 0.082)
Cl (0.850, 0.850, 0.659)
Cl (0.150, 0.150, 0.341)
C (0.500, 0.500, 0.000)
Br (0.838, 0.838, 0.192)
Br (0.162, 0.162, 0.808)
Sc (0.001, 0.001, 0.184)
Sc (0.999, 0.999, 0.816)
I (0.500, 0.500, 0.500)

First-principles (PBE-GGA) data for a relaxed structure of Pr2Sc2CI2Br2Cl, as listed in the Open Quantum Materials Database.

- energy above the most stable polymorph in this dataset (eV/f.u.) = 1.07
- DFT total energy (eV per atom) = -5.187
- M_tot (μB/f.u.) = 0.1

Unit cell a=9.233 b=9.233 c=8.207 alpha=102.63 beta=102.63 gamma=23.91
Atoms (fractional coordinates):
Sc (0.001, 0.001, 0.813)
Sc (0.999, 0.999, 0.187)
Cl (0.500, 0.500, 0.500)
Pr (0.359, 0.359, 0.932)
Pr (0.641, 0.641, 0.068)
Br (0.841, 0.841, 0.198)
Br (0.159, 0.159, 0.802)
I (0.842, 0.842, 0.628)
I (0.158, 0.158, 0.372)
C (0.500, 0.500, 0.000)

First-principles (PBE-GGA) data for a relaxed structure of Pr2Sc2CI2Br2Cl, as listed in the Open Quantum Materials Database.

- energy above the most stable polymorph in this dataset (eV/f.u.) = 0.00
- DFT total energy (eV per atom) = -5.295
- M_tot (μB/f.u.) = 0.0

Unit cell a=9.960 b=9.960 c=8.275 alpha=101.57 beta=101.57 gamma=22.24
Atoms (fractional coordinates):
Sc (0.617, 0.617, 0.056)
Sc (0.383, 0.383, 0.944)
Pr (0.000, 0.000, 0.786)
Pr (0.000, 0.000, 0.214)
Cl (0.500, 0.500, 0.500)
Br (0.841, 0.841, 0.145)
Br (0.159, 0.159, 0.855)
I (0.167, 0.167, 0.323)
I (0.833, 0.833, 0.677)
C (0.500, 0.500, 0.000)

First-principles (PBE-GGA) data for a relaxed structure of Pr2Sc2CIBr2Cl2, as listed in the Open Quantum Materials Database.

- energy above the most stable polymorph in this dataset (eV/f.u.) = 0.00
- DFT total energy (eV per atom) = -5.443
- M_tot (μB/f.u.) = 0.0

Unit cell a=8.795 b=8.795 c=9.011 alpha=102.83 beta=102.83 gamma=25.12
Atoms (fractional coordinates):
Cl (0.173, 0.173, 0.889)
Cl (0.827, 0.827, 0.111)
Sc (0.635, 0.635, 0.062)
Sc (0.365, 0.365, 0.938)
Pr (0.002, 0.002, 0.805)
Pr (0.998, 0.998, 0.195)
Br (0.176, 0.176, 0.285)
Br (0.824, 0.824, 0.715)
I (0.500, 0.500, 0.500)
C (0.500, 0.500, 0.000)